[1]
This record from the Alexandria database describes a geometry-optimized NdCu12Ge6 structure. The functional is PBE.

Cell and atoms, written as extended XYZ:
```
19
Lattice="5.352 3.090 2.952 -5.352 3.090 2.952 0.000 -6.180 2.952" Properties=species:S:1:pos:R:3 pbc="T T T"
Nd 0.000 0.000 0.000
Cu -2.075 -3.594 4.428
Cu -4.150 0.000 4.428
Cu -1.337 -0.772 2.696
Cu 1.337 -0.772 2.696
Cu 0.000 1.544 2.696
Cu 2.075 -3.594 4.428
Cu -2.075 3.594 4.428
Cu 0.000 -1.544 6.160
Cu -1.337 0.772 6.160
Cu 1.337 0.772 6.160
Cu 4.150 0.000 4.428
Cu 2.075 3.594 4.428
Ge 0.000 -2.663 3.665
Ge -2.307 1.332 3.665
Ge -2.307 -1.332 5.191
Ge 2.307 1.332 3.665
Ge 2.307 -1.332 5.191
Ge 0.000 2.663 5.191
```

## Properties
**Energy relative to the elements**: 0.05 eV/atom
**Total DFT energy (no corrections)**: -80.66 eV for the cell shown
**Mass density**: 7.6 g/cm³

***

[2]
This record from the Alexandria database describes a geometry-optimized Nd2Cu5Ge4 structure. The functional is PBE.

Cell and atoms, written as extended XYZ:
```
11
Lattice="0.000 4.757 7.160 2.872 0.000 7.160 2.872 4.757 0.000" Properties=species:S:1:pos:R:3 pbc="T T T"
Nd 2.872 4.757 2.061
Nd 2.872 4.757 12.259
Cu 1.436 2.379 0.000
Cu 1.436 2.379 3.580
Cu 1.436 2.379 7.160
Cu 2.872 4.757 7.160
Cu 4.309 7.136 10.740
Ge 2.872 3.407 5.200
Ge 2.872 3.407 9.120
Ge 2.872 6.108 5.200
Ge 2.872 6.108 9.120
```

## Properties
**Energy relative to the elements**: -0.30 eV/atom
**Total DFT energy (no corrections)**: -51.80 eV for the cell shown
**Mass density**: 7.6 g/cm³

***

[3]
This record from the Alexandria database describes a geometry-optimized NdCu2Ge structure. The functional is PBE.

Cell and atoms, written as extended XYZ:
```
4
Lattice="2.095 1.210 4.923 -2.095 1.210 4.923 0.000 -2.420 4.923" Properties=species:S:1:pos:R:3 pbc="T T T"
Nd 0.000 0.000 0.000
Cu 0.000 0.000 3.032
Cu 0.000 0.000 11.738
Ge 0.000 0.000 7.385
```

## Properties
**Energy relative to the elements**: -0.34 eV/atom
**Total DFT energy (no corrections)**: -18.93 eV for the cell shown
**Mass density**: 7.6 g/cm³

***

[4]
This record from the Alexandria database describes a geometry-optimized NdCu6Ge4 structure. The functional is PBE.

Cell and atoms, written as extended XYZ:
```
11
Lattice="7.004 0.000 0.000 -3.502 6.066 0.000 0.000 0.000 4.042" Properties=species:S:1:pos:R:3 pbc="T T T"
Nd 0.000 0.000 0.000
Cu 0.000 2.533 2.021
Cu -1.309 4.800 2.021
Cu 3.502 0.486 0.000
Cu 2.172 2.790 0.000
Cu 1.309 4.800 2.021
Cu 4.832 2.790 0.000
Ge 0.000 4.044 0.000
Ge 2.041 1.178 2.021
Ge 4.964 1.178 2.021
Ge 3.502 3.710 2.021
```

## Properties
**Energy relative to the elements**: -0.17 eV/atom
**Total DFT energy (no corrections)**: -49.68 eV for the cell shown
**Mass density**: 7.9 g/cm³

***

[5]
This record from the Alexandria database describes a geometry-optimized Nd2Cu5Ge3 structure. The functional is PBE.

Cell and atoms, written as extended XYZ:
```
10
Lattice="4.267 0.000 0.000 0.000 4.267 0.000 0.000 0.000 10.000" Properties=species:S:1:pos:R:3 pbc="T T T"
Nd 0.000 2.134 2.308
Nd 2.134 0.000 7.692
Cu 0.000 0.000 0.000
Cu 0.000 0.000 5.000
Cu 0.000 2.134 8.842
Cu 2.134 0.000 1.157
Cu 2.134 2.134 0.000
Ge 0.000 2.134 6.489
Ge 2.134 0.000 3.511
Ge 2.134 2.134 5.000
```

## Properties
**Energy relative to the elements**: -0.25 eV/atom
**Total DFT energy (no corrections)**: -46.34 eV for the cell shown
**Mass density**: 7.5 g/cm³

***

[6]
This record from the Alexandria database describes a geometry-optimized NdCu4Ge2 structure. The functional is PBE.

Cell and atoms, written as extended XYZ:
```
14
Lattice="7.516 0.000 0.000 0.000 7.516 0.000 0.000 0.000 3.986" Properties=species:S:1:pos:R:3 pbc="T T T"
Nd 0.000 0.000 0.000
Nd 3.758 3.758 1.993
Cu 0.659 2.611 1.993
Cu 1.147 4.417 0.000
Cu 2.611 0.659 1.993
Cu 3.099 6.369 0.000
Cu 4.417 1.147 0.000
Cu 4.905 6.857 1.993
Cu 6.369 3.099 0.000
Cu 6.857 4.905 1.993
Ge 1.632 5.884 1.993
Ge 2.126 2.126 0.000
Ge 5.390 5.390 0.000
Ge 5.884 1.632 1.993
```

## Properties
**Energy relative to the elements**: -0.31 eV/atom
**Distance to the lowest polymorph of the same formula**: 7 meV/atom
**Total DFT energy (no corrections)**: -65.10 eV for the cell shown
**Mass density**: 8.0 g/cm³

***

[7]
This record from the Alexandria database describes a geometry-optimized NdCu4Ge2 structure. The functional is PBE.

Cell and atoms, written as extended XYZ:
```
7
Lattice="2.082 1.202 7.653 -2.082 1.202 7.653 0.000 -2.404 7.653" Properties=species:S:1:pos:R:3 pbc="T T T"
Nd 0.000 0.000 0.000
Cu 0.000 0.000 3.244
Cu 0.000 0.000 10.080
Cu 0.000 0.000 12.879
Cu 0.000 0.000 19.715
Ge 0.000 0.000 5.735
Ge 0.000 0.000 17.224
```

## Properties
**Energy relative to the elements**: -0.32 eV/atom
**Distance to the lowest polymorph of the same formula**: 0 meV/atom
**Total DFT energy (no corrections)**: -32.60 eV for the cell shown
**Mass density**: 7.9 g/cm³

***

[8]
This record from the Alexandria database describes a geometry-optimized Nd3CuGe4 structure. The functional is PBE.

Cell and atoms, written as extended XYZ:
```
8
Lattice="-2.255 2.945 7.480 2.255 -2.945 7.480 2.255 2.945 -7.480" Properties=species:S:1:pos:R:3 pbc="T T T"
Nd 0.000 0.000 0.000
Nd 2.255 0.000 4.573
Nd 0.000 2.945 2.908
Cu 0.000 0.000 7.480
Ge 2.255 1.291 -1.777
Ge 2.255 1.291 1.777
Ge 0.000 1.654 5.703
Ge 0.000 1.654 9.257
```

## Properties
**Energy relative to the elements**: -0.58 eV/atom
**Total DFT energy (no corrections)**: -41.55 eV for the cell shown
**Mass density**: 6.6 g/cm³

***

[9]
This record from the Alexandria database describes a geometry-optimized Nd2Cu12Ni3Ge structure. The functional is PBE.

Cell and atoms, written as extended XYZ:
```
18
Lattice="4.040 2.332 5.795 -4.040 2.332 5.795 0.000 -4.665 5.795" Properties=species:S:1:pos:R:3 pbc="T T T"
Nd 0.000 0.000 1.879
Nd 0.000 0.000 15.505
Cu -1.946 -1.123 8.150
Cu 0.000 -1.553 4.591
Cu -1.345 0.776 4.591
Cu 0.000 -2.247 9.234
Cu -1.946 1.123 9.234
Cu 1.345 0.776 4.591
Cu -1.345 -0.776 12.793
Cu 1.946 -1.123 8.150
Cu 0.000 2.247 8.150
Cu 1.345 -0.776 12.793
Cu 0.000 1.553 12.793
Cu 1.946 1.123 9.234
Ni -2.020 -1.166 5.795
Ni -2.020 1.166 11.589
Ni 0.000 2.332 5.795
Ge 0.000 0.000 8.692
```

## Properties
**Energy relative to the elements**: 0.40 eV/atom
**Total DFT energy (no corrections)**: -73.43 eV for the cell shown
**Mass density**: 6.6 g/cm³

***

[10]
This record from the Alexandria database describes a geometry-optimized NdCuNiGe2 structure. The functional is PBE.

Cell and atoms, written as extended XYZ:
```
5
Lattice="-2.078 2.078 5.036 2.078 -2.078 5.036 2.078 2.078 -5.036" Properties=species:S:1:pos:R:3 pbc="T T T"
Nd 0.000 0.000 0.000
Cu 2.078 0.000 2.518
Ni 0.000 2.078 2.518
Ge 0.000 0.000 3.758
Ge 0.000 0.000 6.313
```

## Properties
**Energy relative to the elements**: -0.61 eV/atom
**Total DFT energy (no corrections)**: -26.91 eV for the cell shown
**Mass density**: 7.9 g/cm³

***

[11]
This record from the Alexandria database describes a geometry-optimized Nd2Cu3NiGe4 structure. The functional is PBE.

Cell and atoms, written as extended XYZ:
```
10
Lattice="4.180 0.000 0.000 0.000 4.180 0.000 0.000 0.000 10.099" Properties=species:S:1:pos:R:3 pbc="T T T"
Nd 0.000 2.090 2.460
Nd 2.090 0.000 7.639
Cu 0.000 0.000 0.000
Cu 0.000 2.090 6.405
Cu 2.090 0.000 3.694
Ni 2.090 2.090 0.000
Ge 0.000 0.000 5.050
Ge 0.000 2.090 8.836
Ge 2.090 0.000 1.263
Ge 2.090 2.090 5.050
```

## Properties
**Energy relative to the elements**: -0.54 eV/atom
**Total DFT energy (no corrections)**: -51.46 eV for the cell shown
**Mass density**: 7.8 g/cm³

***

[12]
This record from the Alexandria database describes a geometry-optimized NdCu2Ni2Ge structure. The functional is PBE.

Cell and atoms, written as extended XYZ:
```
6
Lattice="4.351 0.000 0.000 0.000 4.351 0.000 0.000 0.000 5.623" Properties=species:S:1:pos:R:3 pbc="T T T"
Nd 0.000 0.000 0.000
Cu 2.176 2.176 1.372
Cu 2.176 2.176 4.251
Ni 0.000 2.176 2.812
Ni 2.176 0.000 2.812
Ge 0.000 0.000 2.812
```

## Properties
**Energy relative to the elements**: 0.02 eV/atom
**Total DFT energy (no corrections)**: -29.03 eV for the cell shown
**Mass density**: 7.2 g/cm³

***

[13]
This record from the Alexandria database describes a geometry-optimized NdPaCuGe structure. The functional is PBE.

Cell and atoms, written as extended XYZ:
```
4
Lattice="0.000 3.563 3.563 3.563 0.000 3.563 3.563 3.563 0.000" Properties=species:S:1:pos:R:3 pbc="T T T"
Nd 0.000 0.000 0.000
Pa 3.563 3.563 3.563
Cu 1.781 1.781 1.781
Ge 5.344 5.344 5.344
```

## Properties
**Energy relative to the elements**: -0.14 eV/atom
**Total DFT energy (no corrections)**: -23.53 eV for the cell shown
**Mass density**: 9.4 g/cm³

***

[14]
This record from the Alexandria database describes a geometry-optimized NdCu2GePd4 structure. The functional is PBE.

Cell and atoms, written as extended XYZ:
```
8
Lattice="2.228 1.286 7.763 -2.228 1.286 7.763 0.000 -2.573 7.763" Properties=species:S:1:pos:R:3 pbc="T T T"
Nd 0.000 0.000 0.000
Cu 0.000 0.000 5.842
Cu 0.000 0.000 17.446
Ge 0.000 0.000 11.644
Pd 0.000 0.000 3.088
Pd 0.000 0.000 9.224
Pd 0.000 0.000 14.064
Pd 0.000 0.000 20.200
```

## Properties
**Energy relative to the elements**: -0.41 eV/atom
**Total DFT energy (no corrections)**: -41.65 eV for the cell shown
**Mass density**: 9.6 g/cm³

***

[15]
This record from the Alexandria database describes a geometry-optimized Nd2CuGePd6 structure. The functional is PBE.

Cell and atoms, written as extended XYZ:
```
10
Lattice="5.665 0.000 0.000 2.832 4.907 0.000 2.823 -1.625 7.549" Properties=species:S:1:pos:R:3 pbc="T T T"
Nd 1.411 0.817 0.874
Nd 9.909 2.464 6.675
Cu 4.249 2.453 0.000
Ge 4.244 -0.813 3.774
Pd 2.803 0.030 5.567
Pd 5.630 3.255 1.985
Pd 4.242 0.849 1.978
Pd 7.078 2.432 5.571
Pd 5.691 0.026 5.563
Pd 8.518 3.252 1.982
```

## Properties
**Energy relative to the elements**: -0.52 eV/atom
**Total DFT energy (no corrections)**: -54.60 eV for the cell shown
**Mass density**: 8.4 g/cm³

***

[16]
This record from the Alexandria database describes a geometry-optimized NdCuGe2Pd structure. The functional is PBE.

Cell and atoms, written as extended XYZ:
```
5
Lattice="-2.119 2.119 5.187 2.119 -2.119 5.187 2.119 2.119 -5.187" Properties=species:S:1:pos:R:3 pbc="T T T"
Nd 0.000 0.000 0.000
Cu 0.000 2.119 2.594
Ge 0.000 0.000 3.935
Ge 0.000 0.000 6.440
Pd 2.119 0.000 2.594
```

## Properties
**Energy relative to the elements**: -0.68 eV/atom
**Total DFT energy (no corrections)**: -26.71 eV for the cell shown
**Mass density**: 8.2 g/cm³

***

[17]
This record from the Alexandria database describes a geometry-optimized Nd2CuGe3Pd4 structure. The functional is PBE.

Cell and atoms, written as extended XYZ:
```
10
Lattice="4.358 0.000 0.000 0.000 4.358 0.000 0.000 0.000 10.061" Properties=species:S:1:pos:R:3 pbc="T T T"
Nd 0.000 2.179 2.422
Nd 2.179 0.000 7.639
Cu 2.179 2.179 0.000
Ge 0.000 0.000 0.000
Ge 0.000 2.179 6.337
Ge 2.179 0.000 3.724
Pd 0.000 0.000 5.031
Pd 0.000 2.179 8.784
Pd 2.179 0.000 1.277
Pd 2.179 2.179 5.031
```

## Properties
**Energy relative to the elements**: -0.75 eV/atom
**Total DFT energy (no corrections)**: -55.72 eV for the cell shown
**Mass density**: 8.7 g/cm³

***

[18]
This record from the Alexandria database describes a geometry-optimized Nd2Cu2GePd5 structure. The functional is PBE.

Cell and atoms, written as extended XYZ:
```
20
Lattice="9.646 0.000 0.000 0.000 9.646 0.000 0.000 0.000 3.826" Properties=species:S:1:pos:R:3 pbc="T T T"
Nd 1.698 3.126 0.000
Nd 3.126 7.949 0.000
Nd 6.521 1.698 0.000
Nd 7.949 6.521 0.000
Cu 1.171 5.994 0.000
Cu 3.652 1.171 0.000
Cu 5.994 8.475 0.000
Cu 8.475 3.652 0.000
Ge 0.000 0.000 0.000
Ge 4.823 4.823 0.000
Pd 0.000 4.823 1.913
Pd 0.617 7.690 1.913
Pd 1.956 0.617 1.913
Pd 2.867 5.440 1.913
Pd 4.206 2.867 1.913
Pd 4.823 0.000 1.913
Pd 5.440 6.780 1.913
Pd 6.780 4.206 1.913
Pd 7.690 9.029 1.913
Pd 9.029 1.956 1.913
```

## Properties
**Energy relative to the elements**: -0.59 eV/atom
**Total DFT energy (no corrections)**: -108.48 eV for the cell shown
**Mass density**: 9.5 g/cm³

***

[19]
This record from the Alexandria database describes a geometry-optimized Nd2Cu3Ge4Pd structure. The functional is PBE.

Cell and atoms, written as extended XYZ:
```
10
Lattice="4.233 0.000 0.000 0.000 4.233 0.000 0.000 0.000 10.188" Properties=species:S:1:pos:R:3 pbc="T T T"
Nd 0.000 2.117 2.531
Nd 2.117 0.000 7.657
Cu 0.000 2.117 8.883
Cu 2.117 0.000 1.305
Cu 2.117 2.117 5.094
Ge 0.000 0.000 0.000
Ge 0.000 2.117 6.469
Ge 2.117 0.000 3.719
Ge 2.117 2.117 0.000
Pd 0.000 0.000 5.094
```

## Properties
**Energy relative to the elements**: -0.58 eV/atom
**Total DFT energy (no corrections)**: -51.30 eV for the cell shown
**Mass density**: 8.0 g/cm³

***

[20]
This record from the Alexandria database describes a geometry-optimized PmNdCu2Ge2 structure. The functional is PBE.

Cell and atoms, written as extended XYZ:
```
6
Lattice="4.300 0.000 0.000 -2.150 3.724 0.000 0.000 0.000 7.780" Properties=species:S:1:pos:R:3 pbc="T T T"
Pm 0.000 0.000 0.000
Nd 0.000 0.000 3.890
Cu 0.000 2.483 1.921
Cu 2.150 1.241 5.859
Ge 0.000 2.483 5.853
Ge 2.150 1.241 1.927
```

## Properties
**Energy relative to the elements**: -0.67 eV/atom
**Total DFT energy (no corrections)**: -30.95 eV for the cell shown
**Mass density**: 7.5 g/cm³

***

[21]
This record from the Alexandria database describes a geometry-optimized Pm2NdCu2Ge2 structure. The functional is PBE.

Cell and atoms, written as extended XYZ:
```
7
Lattice="2.164 1.250 9.842 -2.164 1.250 9.842 0.000 -2.499 9.842" Properties=species:S:1:pos:R:3 pbc="T T T"
Pm 0.000 0.000 3.709
Pm 0.000 0.000 25.818
Nd 0.000 0.000 0.000
Cu 0.000 0.000 11.822
Cu 0.000 0.000 17.705
Ge 0.000 0.000 7.848
Ge 0.000 0.000 21.679
```

## Properties
**Energy relative to the elements**: -0.49 eV/atom
**Total DFT energy (no corrections)**: -35.14 eV for the cell shown
**Mass density**: 7.3 g/cm³

***

[22]
This record from the Alexandria database describes a geometry-optimized PrNdCuGe structure. The functional is PBE.

Cell and atoms, written as extended XYZ:
```
4
Lattice="0.000 3.655 3.655 3.655 0.000 3.655 3.655 3.655 0.000" Properties=species:S:1:pos:R:3 pbc="T T T"
Pr 0.000 0.000 0.000
Nd 3.655 3.655 3.655
Cu 5.483 5.483 5.483
Ge 1.828 1.828 1.828
```

## Properties
**Energy relative to the elements**: -0.45 eV/atom
**Total DFT energy (no corrections)**: -20.05 eV for the cell shown
**Mass density**: 7.2 g/cm³

***

[23]
This record from the Alexandria database describes a geometry-optimized PrNdCu2Ge2 structure. The functional is PBE.

Cell and atoms, written as extended XYZ:
```
6
Lattice="4.314 0.000 0.000 -2.157 3.736 0.000 0.000 0.000 7.881" Properties=species:S:1:pos:R:3 pbc="T T T"
Pr 0.000 0.000 0.000
Nd 0.000 0.000 3.940
Cu 0.000 2.491 1.994
Cu 2.157 1.245 5.886
Ge 0.000 2.491 5.892
Ge 2.157 1.245 1.989
```

## Properties
**Energy relative to the elements**: -0.65 eV/atom
**Total DFT energy (no corrections)**: -30.90 eV for the cell shown
**Mass density**: 7.3 g/cm³